# 1
Entry from Alexandria: Ba2NiMo after structural relaxation (PBE).

As for the total energy: -3.9898 eV per atom.

The space group is C2/m (No. 12) and the conventional cell measures 7.0116, 3.8398 and 9.3863 Å, with angles of 90.00, 102.32 and 90.00 degrees. The asymmetric unit holds Ba at (0.2410, 0.0000, 0.2217), Ni at (0.0000, 0.5000, 0.0000) and Mo at (0.0000, 0.0000, 0.5000).

# 2
Entry from Alexandria: BaNiMo after structural relaxation (PBE).

As for the total energy: -5.7865 eV per atom.

The space group is Cmcm (No. 63) and the conventional cell measures 4.3859, 12.6656 and 5.0507 Å, with angles of 90.00, 90.00 and 90.00 degrees. The asymmetric unit holds Ba at (0.0000, 0.2020, 0.2500), Ni at (0.0000, 0.0436, 0.7500) and Mo at (0.0000, 0.5000, 0.0000).

# 3
Entry from Alexandria: BaNiMo2 after structural relaxation (PBE).

As for the total energy: -6.2550 eV per atom.

The space group is I4_1/amd (No. 141, origin choice 2) and the conventional cell measures 4.8323, 4.8323 and 17.7319 Å, with angles of 90.00, 90.00 and 90.00 degrees. The asymmetric unit holds Ba at (0.0000, 0.2500, 0.3750), Ni at (0.0000, 0.2500, 0.8750) and Mo at (0.0000, 0.0000, 0.0000).

# 4
Entry from Alexandria: BaNiMo2 after structural relaxation (PBE).

As for the total energy: -6.0683 eV per atom.

The space group is Cmmm (No. 65) and the conventional cell measures 5.3077, 10.5616 and 2.8208 Å, with angles of 90.00, 90.00 and 90.00 degrees. The asymmetric unit holds Ba at (0.0000, 0.0000, 0.0000), Ni at (0.0000, 0.5000, 0.0000) and Mo at (0.2500, 0.2500, 0.5000).

# 5
Entry from Alexandria: Ba2Ni2Mo after structural relaxation (PBE).

As for the total energy: -4.6240 eV per atom.

The space group is P4/mbm (No. 127) and the conventional cell measures 6.7003, 6.7003 and 5.2312 Å, with angles of 90.00, 90.00 and 90.00 degrees. The asymmetric unit holds Ba at (0.1786, 0.3214, 0.0000), Ni at (0.1397, 0.6397, 0.5000) and Mo at (0.0000, 0.0000, 0.5000).

# 6
Entry from Alexandria: BaNiMo after structural relaxation (PBE).

As for the total energy: -5.7841 eV per atom.

The space group is Pm (No. 6) and the conventional cell measures 4.3473, 4.1837 and 9.0512 Å, with angles of 90.00, 92.00 and 90.00 degrees. The asymmetric unit holds Ba at (0.0000, 0.0000, 0.0000), Ba at (0.4881, 0.5000, 0.6150), Ni at (0.0290, 0.5000, 0.3104), Ni at (0.9261, 0.0000, 0.4476), Mo at (0.4296, 0.0000, 0.3250) and Mo at (0.5455, 0.5000, 0.1866).

Calculated polymorph energy (0 for the lowest one) (eV per atom), listed in the same order as above: 0.536; 0.081; 0.548; 0.735; 0.000; 0.084